# 1
This record from Alexandria describes HgCSeBr2 after structural relaxation. The functional is GGA-PBE.

## Properties
**Symmetry**: P4/mmm, No. 123
**D(E_F)**: 2.91 states/eV/cell
**Excess energy over the best structure of this formula in the dataset**: 0 meV/atom
**Crystal system**: tetragonal
**Total energy**: -2.2557 eV/atom
**Raw formation energy**: 1.0155 eV per atom

abc: 4.8874 4.8874 4.4724
angles: 90.00 90.00 90.00
Sites, in units of the cell vectors:
Hg: 0.0000 0.0000 0.0000
C: 0.5000 0.5000 0.5000
Se: 0.5000 0.5000 0.0000
Br: 0.0000 0.5000 0.5000
Br: 0.5000 0.0000 0.5000

---

# 2
This record from Alexandria describes HgCSeBr2 after structural relaxation. The functional is GGA-PBE.

## Properties
**Symmetry**: P4/mmm, No. 123
**D(E_F)**: 4.48 states/eV/cell
**Excess energy over the best structure of this formula in the dataset**: 660 meV/atom
**Crystal system**: tetragonal
**Total energy**: -1.5958 eV/atom
**Raw formation energy**: 1.6754 eV per atom

abc: 5.4897 5.4897 5.4588
angles: 90.00 90.00 90.00
Sites, in units of the cell vectors:
Hg: 0.0000 0.0000 0.0000
C: 0.5000 0.5000 0.5000
Se: 0.0000 0.0000 0.5000
Br: 0.0000 0.5000 0.0000
Br: 0.5000 0.0000 0.0000

---

# 3
This record from Alexandria describes Ho2CBr2 after structural relaxation. The functional is GGA-PBE.

## Properties
**Symmetry**: R-3m, No. 166
**Crystal system**: trigonal
**Total energy**: -5.5434 eV/atom
**Raw formation energy**: -1.1984 eV per atom

abc: 11.0889 11.0889 11.0889
angles: 19.12 19.12 19.12
Sites, in units of the cell vectors:
Ho: 0.1253 0.1253 0.1253
Ho: 0.8747 0.8747 0.8747
C: 0.5000 0.5000 0.5000
Br: 0.3970 0.3970 0.3970
Br: 0.6030 0.6030 0.6030

---

# 4
This record from Alexandria describes Ho3CBr3 after structural relaxation. The functional is GGA-PBE.

## Properties
**Symmetry**: P2_1/m, No. 11
**D(E_F)**: 2.94 states/eV/cell
**Crystal system**: monoclinic
**Total energy**: -5.2988 eV/atom
**Raw formation energy**: -1.3023 eV per atom

abc: 8.2282 3.7579 11.1825
angles: 90.00 92.13 90.00
Sites, in units of the cell vectors:
Ho: 0.0860 0.2500 0.3952
Ho: 0.1174 0.2500 0.8282
Ho: 0.3071 0.7500 0.6193
Ho: 0.6929 0.2500 0.3807
Ho: 0.8826 0.7500 0.1718
Ho: 0.9140 0.7500 0.6048
C: 0.1213 0.2500 0.6183
C: 0.8787 0.7500 0.3817
Br: 0.1367 0.2500 0.1246
Br: 0.3744 0.7500 0.8728
Br: 0.3815 0.7500 0.3688
Br: 0.6185 0.2500 0.6312
Br: 0.6256 0.2500 0.1272
Br: 0.8633 0.7500 0.8754

---

Listing calculated volume for the structures above in their given order: 21.4 32.9 25.6 24.7 A^3/atom.